Entry 1:
This record from Alexandria describes a relaxed GaB2SO crystal. The functional is PBE.

Unit cell a=3.8507 b=3.8705 c=3.8507 alpha=90.00 beta=90.00 gamma=90.00
With the nearest neighbours (Å) after each atom.
Positions (direct):
S (0.0000, 0.0000, 0.0000)  4 B 1.93, 2 O 1.94
B (0.0000, 0.0000, 0.5000)  2 S 1.93
B (0.5000, 0.0000, 0.0000)  2 S 1.93
O (0.0000, 0.5000, 0.0000)  2 S 1.94
Ga (0.5000, 0.5000, 0.5000)  4 O 2.72, 8 B 2.73

Output
SG: No. 123
Total magnetization (μB/f.u.): 0.000
Energy (eV/atom): -4.018
V (Å³/cell): 57.4

Entry 2:
This record from Alexandria describes a relaxed Cs2SrZn2S4 crystal. The functional is PBE.

Unit cell a=4.1573 b=8.2762 c=8.3018 alpha=109.17 beta=104.50 gamma=90.00
With the nearest neighbours (Å) after each atom.
Positions (direct):
Cs (0.1294, 0.5450, 0.2588)  7 S 3.52-3.91, 2 Zn 3.93
Cs (0.8706, 0.4550, 0.7412)  7 S 3.52-3.91, 2 Zn 3.93
Sr (0.0000, 0.0000, 0.0000)  6 S 2.96-3.11
Zn (0.6724, 0.9685, 0.3447)  4 S 2.30-2.49
Zn (0.3276, 0.0315, 0.6553)  4 S 2.30-2.49
S (0.2057, 0.1437, 0.4114)  3 Zn 2.44-2.49
S (0.7943, 0.8563, 0.5886)  3 Zn 2.44-2.49
S (0.5312, 0.7723, 0.0624)  1 Zn 2.30
S (0.4688, 0.2277, 0.9376)  1 Zn 2.30

Output
SG: No. 12
Total magnetization (μB/f.u.): 0.000
Energy (eV/atom): -3.739
V (Å³/cell): 260.2

Entry 3:
This record from Alexandria describes a relaxed Tb4Ga12Sn crystal. The functional is PBE.

Unit cell a=7.6706 b=7.6706 c=7.6706 alpha=109.47 beta=109.47 gamma=109.47
With the nearest neighbours (Å) after each atom.
Positions (direct):
Tb (0.0000, 0.0000, 0.5000)  12 Ga 3.13-3.19
Tb (0.5000, 0.0000, 0.0000)  12 Ga 3.13-3.19
Tb (0.5000, 0.5000, 0.5000)  12 Ga 3.13-3.19
Tb (0.0000, 0.5000, 0.0000)  12 Ga 3.13-3.19
Ga (0.0000, 0.3196, 0.3196)  4 Ga 2.73, 1 Sn 2.83
Ga (0.0000, 0.6804, 0.6804)  4 Ga 2.73, 1 Sn 2.83
Ga (0.6804, 0.6804, 0.0000)  4 Ga 2.73, 1 Sn 2.83
Ga (0.3196, 0.3196, 0.0000)  4 Ga 2.73, 1 Sn 2.83
Ga (0.3196, 0.0000, 0.3196)  4 Ga 2.73, 1 Sn 2.83
Ga (0.6804, 0.0000, 0.6804)  4 Ga 2.73, 1 Sn 2.83
Ga (0.5000, 0.2500, 0.7500)  4 Ga 2.73
Ga (0.5000, 0.7500, 0.2500)  4 Ga 2.73
Ga (0.7500, 0.2500, 0.5000)  4 Ga 2.73
Ga (0.2500, 0.7500, 0.5000)  4 Ga 2.73
Ga (0.7500, 0.5000, 0.2500)  4 Ga 2.73
Ga (0.2500, 0.5000, 0.7500)  4 Ga 2.73
Sn (0.0000, 0.0000, 0.0000)  6 Ga 2.83

Output
SG: No. 229
Energy of formation (eV per atom): -0.46
Total magnetization (μB/f.u.): 0.000
V (Å³/cell): 347.4

Entry 4:
This record from Alexandria describes a relaxed Zn3RhF crystal. The functional is PBE.

Unit cell a=4.1707 b=4.1707 c=4.1707 alpha=90.00 beta=90.00 gamma=90.00
With the nearest neighbours (Å) after each atom.
Positions (direct):
Zn (0.0000, 0.5000, 0.0000)  2 F 2.09
Zn (0.0000, 0.0000, 0.5000)  2 F 2.09
Zn (0.5000, 0.0000, 0.0000)  2 F 2.09
Rh (0.5000, 0.5000, 0.5000)  12 Zn 2.95
F (0.0000, 0.0000, 0.0000)  6 Zn 2.09

Output
SG: No. 221
Total magnetization (μB/f.u.): 0.000
ΔE to the lowest computed polymorph (eV/atom): 0.000
V (Å³/cell): 72.5

Entry 5:
This record from Alexandria describes a relaxed CaLa2Hg3 crystal. The functional is PBE.

Unit cell a=3.8575 b=3.8575 c=11.7646 alpha=90.00 beta=90.00 gamma=90.00
With the nearest neighbours (Å) after each atom.
Positions (direct):
Ca (0.5000, 0.5000, 0.5000)  8 Hg 3.33
La (0.5000, 0.5000, 0.8308)  8 Hg 3.37-3.38
La (0.5000, 0.5000, 0.1692)  8 Hg 3.37-3.38
Hg (0.0000, 0.0000, 0.0000)  8 La 3.38
Hg (0.0000, 0.0000, 0.6625)  4 Ca 3.33, 4 La 3.37
Hg (0.0000, 0.0000, 0.3375)  4 Ca 3.33, 4 La 3.37

Output
SG: No. 123
Energy of formation (eV per atom): -0.53
Total magnetization (μB/f.u.): 0.268
ΔE to the lowest computed polymorph (eV/atom): 0.018
V (Å³/cell): 175.1

Entry 6:
This record from Alexandria describes a relaxed MgReNi2N crystal. The functional is PBE.

Unit cell a=4.1589 b=4.8543 c=4.1589 alpha=90.00 beta=90.00 gamma=90.00
With the nearest neighbours (Å) after each atom.
Positions (direct):
Re (0.0000, 0.5000, 0.0000)  2 Mg 2.43
Mg (0.0000, 0.0000, 0.0000)  4 Ni 2.08
N (0.5000, 0.5000, 0.5000)  4 Re 2.94, 8 Ni 3.20
Ni (0.0000, 0.0000, 0.5000)  2 Mg 2.08
Ni (0.5000, 0.0000, 0.0000)  2 Mg 2.08

Output
SG: No. 123
Total magnetization (μB/f.u.): 3.928
Energy (eV/atom): -4.004
V (Å³/cell): 84.0

Entry 7:
This record from Alexandria describes a relaxed CePdI6 crystal. The functional is PBE.

Unit cell a=7.0689 b=7.7948 c=7.7948 alpha=59.95 beta=90.21 gamma=89.79
With the nearest neighbours (Å) after each atom.
Positions (direct):
Ce (0.0000, 0.0207, 0.0207)  6 I 3.04
Pd (0.5000, 0.0207, 0.0207)  6 I 2.85
I (0.7300, 0.7188, 0.3228)  1 Pd 2.85, 1 Ce 3.04
I (0.2700, 0.3228, 0.7188)  1 Pd 2.85, 1 Ce 3.04
I (0.2737, 0.0208, 0.3223)  1 Pd 2.85, 1 Ce 3.04
I (0.2737, 0.7191, 0.0207)  1 Pd 2.85, 1 Ce 3.04
I (0.7263, 0.0207, 0.7191)  1 Pd 2.85, 1 Ce 3.04
I (0.7263, 0.3223, 0.0208)  1 Pd 2.85, 1 Ce 3.04

Output
SG: No. 12
Total magnetization (μB/f.u.): 2.098
ΔE to the lowest computed polymorph (eV/atom): 0.000
V (Å³/cell): 371.7

Entry 8:
This record from Alexandria describes a relaxed GdYNi2 crystal. The functional is PBE.

Unit cell a=4.8118 b=4.8118 c=4.8118 alpha=60.00 beta=60.00 gamma=60.00
With the nearest neighbours (Å) after each atom.
Positions (direct):
Y (0.5000, 0.5000, 0.5000)  8 Ni 2.95
Ni (0.2500, 0.2500, 0.2500)  4 Gd 2.95, 4 Y 2.95
Ni (0.7500, 0.7500, 0.7500)  4 Gd 2.95, 4 Y 2.95
Gd (0.0000, 0.0000, 0.0000)  8 Ni 2.95

Output
SG: No. 225
Energy of formation (eV per atom): -0.35
Total magnetization (μB/f.u.): 7.266
ΔE to the lowest computed polymorph (eV/atom): 0.005
V (Å³/cell): 78.8

Entry 9:
This record from Alexandria describes a relaxed ScPtRh crystal. The functional is PBE.

Unit cell a=2.9956 b=2.9956 c=6.4750 alpha=90.00 beta=90.00 gamma=120.00
With the nearest neighbours (Å) after each atom.
Positions (direct):
Pt (0.0000, 0.0000, 0.9884)  3 Sc 2.75, 3 Rh 2.93, 6 Pt 3.00
Rh (0.6667, 0.3333, 0.3541)  3 Sc 2.62
Sc (0.3333, 0.6667, 0.6576)  3 Rh 2.62, 3 Pt 2.75

Output
SG: No. 156
Energy of formation (eV per atom): -0.49
Total magnetization (μB/f.u.): 0.000
ΔE to the lowest computed polymorph (eV/atom): 0.227
V (Å³/cell): 50.3

Entry 10:
This record from Alexandria describes a relaxed BeMoAs2 crystal. The functional is PBE.

Unit cell a=2.9369 b=2.9369 c=7.9987 alpha=90.00 beta=90.00 gamma=106.42
With the nearest neighbours (Å) after each atom.
Positions (direct):
Be (0.0000, 0.0000, 0.5085)  2 As 2.24, 2 Mo 2.38
Mo (0.5000, 0.5000, 0.7095)  2 Be 2.38, 2 As 2.59
As (0.0000, 0.0000, 0.9466)  2 Mo 2.59
As (0.5000, 0.5000, 0.3354)  2 Be 2.24

Output
SG: No. 35
Energy of formation (eV per atom): 0.18
Total magnetization (μB/f.u.): 0.000
V (Å³/cell): 66.2

Entry 11:
This record from Alexandria describes a relaxed K3Li2H4 crystal. The functional is PBE.

Unit cell a=4.0009 b=7.1512 c=8.8058 alpha=124.81 beta=90.00 gamma=106.24
With the nearest neighbours (Å) after each atom.
Positions (direct):
K (0.6568, 0.3135, 0.7651)  4 H 2.73-2.81
K (0.0000, 0.0000, 0.0000)  6 H 2.75-2.84
K (0.3432, 0.6865, 0.2349)  4 H 2.73-2.81
Li (0.7178, 0.4355, 0.3730)  3 H 1.87-2.00
Li (0.2822, 0.5645, 0.6270)  3 H 1.87-2.00
H (0.6751, 0.3502, 0.1000)  1 Li 2.11
H (0.3249, 0.6498, 0.9000)  1 Li 2.11
H (0.7938, 0.5876, 0.6338)  3 Li 1.87-2.00
H (0.2062, 0.4124, 0.3662)  3 Li 1.87-2.00

Output
SG: No. 12
Total magnetization (μB/f.u.): 0.000
Energy (eV/atom): -2.450
V (Å³/cell): 194.5

Entry 12:
This record from Alexandria describes a relaxed TmU2Co9 crystal. The functional is PBE.

Unit cell a=4.8265 b=4.8265 c=8.5980 alpha=73.70 beta=73.70 gamma=60.00
With the nearest neighbours (Å) after each atom.
Positions (direct):
Tm (0.0000, 0.0000, 0.0000)  6 Co 2.79
U (0.8595, 0.8595, 0.4215)  12 Co 2.80-3.04, 3 U 3.07
U (0.1405, 0.1405, 0.5785)  12 Co 2.80-3.04, 3 U 3.07
Co (0.6674, 0.6674, 0.9979)  6 Co 2.43-2.45
Co (0.3326, 0.3326, 0.0021)  6 Co 2.43-2.45
Co (0.5000, 0.5000, 0.5000)  6 Co 2.49
Co (0.4186, 0.4186, 0.2462)  7 Co 2.40-2.49
Co (0.9166, 0.4186, 0.2462)  7 Co 2.40-2.49
Co (0.4186, 0.9166, 0.2462)  7 Co 2.40-2.49
Co (0.5814, 0.5814, 0.7538)  7 Co 2.40-2.49
Co (0.5814, 0.0834, 0.7538)  7 Co 2.40-2.49
Co (0.0834, 0.5814, 0.7538)  7 Co 2.40-2.49

Output
SG: No. 166
Energy of formation (eV per atom): -0.19
Total magnetization (μB/f.u.): 4.719
V (Å³/cell): 164.1